No. 1
The following is a PBEsol calculation of an optimized crystal structure of BaCuPb, from Alexandria via LeMat-Bulk.

Calculated values
crystal system = cubic
V = 33.4 Å³ per atom
raw total energy = -9.64 eV for the cell shown
space-group type = No. 216
formation energy from the elements = 280 meV/atom

abc: 5.2119 5.2119 5.2119
angles: 60.00 60.00 60.00
Fractional positions:
Ba 0.0000 0.0000 0.0000
Cu 0.5000 0.5000 0.5000
Pb 0.2500 0.2500 0.2500

=====

No. 2
The following is a PBEsol calculation of an optimized crystal structure of BaCuPd2, from Alexandria via LeMat-Bulk.

Calculated values
crystal system = cubic
V = 19.7 Å³ per atom
raw total energy = -17.98 eV for the cell shown
space-group type = No. 225
formation energy from the elements = 105 meV/atom

abc: 4.8160 4.8160 4.8160
angles: 60.00 60.00 60.00
Fractional positions:
Ba 0.0000 0.0000 0.0000
Cu 0.5000 0.5000 0.5000
Pd 0.2500 0.2500 0.2500
Pd 0.7500 0.7500 0.7500

=====

No. 3
The following is a PBEsol calculation of an optimized crystal structure of BaCu2Pt, from Alexandria via LeMat-Bulk.

Calculated values
crystal system = monoclinic
V = 23.4 Å³ per atom
distance to the lowest polymorph of the same formula = 193 meV/atom
raw total energy = -18.05 eV for the cell shown
space-group type = No. 10
formation energy from the elements = -68 meV/atom

abc: 4.5366 4.4028 4.6800
angles: 90.00 90.07 90.00
Fractional positions:
Ba 0.0000 0.0000 0.0000
Cu 0.5002 0.5000 0.2486
Cu 0.4998 0.5000 0.7514
Pt 0.5000 0.0000 0.5000

=====

No. 4
The following is a PBEsol calculation of an optimized crystal structure of BaCu2Pt, from Alexandria via LeMat-Bulk.

Calculated values
crystal system = trigonal
V = 21.5 Å³ per atom
distance to the lowest polymorph of the same formula = 1 meV/atom
raw total energy = -18.82 eV for the cell shown
space-group type = No. 166
formation energy from the elements = -261 meV/atom

abc: 5.8551 5.8551 5.8551
angles: 43.37 43.37 43.37
Fractional positions:
Ba 0.0000 0.0000 0.0000
Cu 0.1873 0.1873 0.1873
Cu 0.8127 0.8127 0.8127
Pt 0.5000 0.5000 0.5000

=====

No. 5
The following is a PBEsol calculation of an optimized crystal structure of BaCuPt, from Alexandria via LeMat-Bulk.

Calculated values
crystal system = hexagonal
V = 24.0 Å³ per atom
raw total energy = -14.51 eV for the cell shown
space-group type = No. 187
formation energy from the elements = -353 meV/atom

abc: 4.3178 4.3178 4.4667
angles: 90.00 90.00 120.00
Fractional positions:
Ba 0.0000 0.0000 0.0000
Cu 0.3333 0.6667 0.5000
Pt 0.6667 0.3333 0.5000

=====

No. 6
The following is a PBEsol calculation of an optimized crystal structure of BaCu2Pt, from Alexandria via LeMat-Bulk.

Calculated values
crystal system = trigonal
V = 21.8 Å³ per atom
distance to the lowest polymorph of the same formula = 0 meV/atom
raw total energy = -18.83 eV for the cell shown
space-group type = No. 160
formation energy from the elements = -261 meV/atom

abc: 5.9518 5.9518 5.9518
angles: 42.51 42.51 42.51
Fractional positions:
Ba 0.0000 0.0000 0.0000
Cu 0.1828 0.1828 0.1828
Cu 0.4951 0.4951 0.4951
Pt 0.8091 0.8091 0.8091

=====

No. 7
The following is a PBEsol calculation of an optimized crystal structure of Ba3CuPt, from Alexandria via LeMat-Bulk.

Calculated values
crystal system = cubic
V = 38.3 Å³ per atom
raw total energy = -16.24 eV for the cell shown
space-group type = No. 221
formation energy from the elements = 301 meV/atom

abc: 5.7642 5.7642 5.7642
angles: 90.00 90.00 90.00
Fractional positions:
Ba 0.0000 0.0000 0.5000
Ba 0.0000 0.5000 0.0000
Ba 0.5000 0.0000 0.0000
Cu 0.0000 0.0000 0.0000
Pt 0.5000 0.5000 0.5000

=====

No. 8
The following is a PBEsol calculation of an optimized crystal structure of BaCu3Pt, from Alexandria via LeMat-Bulk.

Calculated values
crystal system = cubic
V = 21.8 Å³ per atom
raw total energy = -21.46 eV for the cell shown
space-group type = No. 221
formation energy from the elements = 131 meV/atom

abc: 4.7740 4.7740 4.7740
angles: 90.00 90.00 90.00
Fractional positions:
Ba 0.0000 0.0000 0.0000
Cu 0.0000 0.5000 0.5000
Cu 0.5000 0.0000 0.5000
Cu 0.5000 0.5000 0.0000
Pt 0.5000 0.5000 0.5000